1.
Compound: SrAs2OsSe
Source: Alexandria via LeMat-Bulk
Functional: GGA-PBEsol
Structure: optimized geometry

```
5
Lattice="5.349 0.000 0.000 0.000 5.396 0.000 0.000 0.000 5.396" Properties=species:S:1:pos:R:3 pbc="T T T"
Sr 0.000 0.000 0.000
As 0.000 0.000 2.698
As 0.000 2.698 0.000
Os 2.675 2.698 2.698
Se 2.675 0.000 0.000
```

Summary:
The value obtained for the raw formation energy is 2.111 eV/atom. As for the total magnetization: 0.6638 μB/atom. As for the symmetry: P4/mmm. As for the total energy: -3.513 eV/atom.


2.
Compound: TaAsOsSe2
Source: Alexandria via LeMat-Bulk
Functional: GGA-PBEsol
Structure: optimized geometry

```
5
Lattice="4.660 0.000 0.000 0.000 4.660 0.000 0.000 0.000 5.057" Properties=species:S:1:pos:R:3 pbc="T T T"
As 2.330 2.330 2.529
Os 0.000 0.000 0.000
Se 0.000 2.330 0.000
Se 2.330 0.000 0.000
Ta 0.000 0.000 2.529
```

Summary:
The value obtained for the raw formation energy is 1.086 eV/atom. As for the total magnetization: 0.1527 μB/atom. As for the symmetry: P4/mmm. As for the total energy: -6.428 eV/atom.


3.
Compound: TcAsOsSe2
Source: Alexandria via LeMat-Bulk
Functional: GGA-PBEsol
Structure: optimized geometry

```
5
Lattice="-1.959 1.457 -3.975 -4.219 -0.771 1.797 -0.096 4.350 1.642" Properties=species:S:1:pos:R:3 pbc="T T T"
As -0.980 0.728 -1.987
Os -3.137 2.518 -0.268
Tc 0.000 0.000 0.000
Se -0.048 2.175 0.821
Se -2.110 -0.386 0.899
```

Summary:
The value obtained for the raw formation energy is 1.417 eV/atom. As for the total magnetization: 0.0001 μB/atom. As for the symmetry: P4/mmm. As for the total energy: -5.841 eV/atom.